VASP calculation (meta-GGA SCAN) on a crystal of AlWAu2 relaxed with PBEsol.

- E_tot (eV per atom) = -53.7812
- density of states at the Fermi level (states/eV/atom) = 0.624

Structure (CIF):
```
data_AlWAu2
_cell_length_a 9.376
_cell_length_b 2.773
_cell_length_c 5.029
_cell_angle_alpha 90.00
_cell_angle_beta 100.73
_cell_angle_gamma 90.00
_symmetry_space_group_name_H-M 'C 1 2/m 1'
_symmetry_Int_Tables_number 12
loop_
_symmetry_equiv_pos_as_xyz
'x,y,z'
'-x,-y,-z'
'-x,y,-z'
'x,-y,z'
'x+1/2,y+1/2,z'
'-x+1/2,-y+1/2,-z'
'-x+1/2,y+1/2,-z'
'x+1/2,-y+1/2,z'
loop_
_atom_site_label
_atom_site_type_symbol
_atom_site_fract_x
_atom_site_fract_y
_atom_site_fract_z
Al1 Al 0.000 0.000 0.000
W1 W 0.000 0.500 0.500
Au1 Au 0.247 0.500 0.252
```